[1]
## ZrCoPt2 (GGA-PBE)

Data for crystalline ZrCoPt2 at its relaxed geometry.

Properties
Density of states at the Fermi level = 0.853 states/eV per atom
E = -28.8 eV/f.u.

abc: 3.848 3.848 18.317
angles: 90.00 90.00 90.00
Space group I-42d (No. 122)
Asymmetric unit:
Zr1 0.000 0.000 0.000 (multiplicity 4)
Co1 0.000 0.000 0.500 (multiplicity 4)
Pt1 0.231 0.250 0.625 (multiplicity 8)

---

[2]
## ZrCo4Pt (GGA-PBE)

Data for crystalline ZrCo4Pt at its relaxed geometry.

Properties
Density of states at the Fermi level = 1.330 states/eV per atom
E = -45.0 eV/f.u.

abc: 6.823 6.823 6.823
angles: 90.00 90.00 90.00
Space group F-43m (No. 216)
Asymmetric unit:
Zr1 0.000 0.000 0.000 (multiplicity 4)
Co1 0.124 0.124 0.624 (multiplicity 16)
Pt1 0.250 0.250 0.250 (multiplicity 4)

---

[3]
## ZrCoPt (GGA-PBE)

Data for crystalline ZrCoPt at its relaxed geometry.

Properties
Density of states at the Fermi level = 0.715 states/eV per atom
E = -21.9 eV/f.u.

abc: 6.099 6.099 6.099
angles: 90.00 90.00 90.00
Space group F-43m (No. 216)
Asymmetric unit:
Zr1 0.000 0.000 0.000 (multiplicity 4)
Co1 0.250 0.250 0.750 (multiplicity 4)
Pt1 0.250 0.250 0.250 (multiplicity 4)

---

[4]
## ZrCoPt (GGA-PBE)

Data for crystalline ZrCoPt at its relaxed geometry.

Properties
Density of states at the Fermi level = 0.729 states/eV per atom
E = -21.9 eV/f.u.

abc: 3.1982 3.1982 5.7935
angles: 90.00 90.00 120.00
Space group P3m1 (No. 156)
Asymmetric unit:
Zr1 0.0000 0.0000 0.0000 (multiplicity 1)
Co1 0.3333 0.6667 0.3057 (multiplicity 1)
Pt1 0.6667 0.3333 0.6406 (multiplicity 1)

---

[5]
## ZrCoPt (GGA-PBE)

Data for crystalline ZrCoPt at its relaxed geometry.

Properties
Density of states at the Fermi level = 0.777 states/eV per atom
E = -23.2 eV/f.u.

abc: 8.591 10.172 6.740
angles: 90.00 90.00 90.00
Space group Ima2 (No. 46)
Asymmetric unit:
Zr1 0.014 0.188 0.000 (multiplicity 8)
Zr2 0.250 0.077 0.355 (multiplicity 4)
Co1 0.000 0.000 0.275 (multiplicity 4)
Co2 0.100 0.579 0.135 (multiplicity 8)
Pt1 0.250 0.162 0.720 (multiplicity 4)
Pt2 0.250 0.537 0.475 (multiplicity 4)
Pt3 0.250 0.703 0.805 (multiplicity 4)

---

[6]
## ZrCoPt (GGA-PBE)

Data for crystalline ZrCoPt at its relaxed geometry.

Properties
Density of states at the Fermi level = 1.265 states/eV per atom
E = -23.2 eV/f.u.

abc: 3.367 3.367 8.683
angles: 90.00 90.00 90.00
Space group I4mm (No. 107)
Asymmetric unit:
Zr1 0.000 0.000 0.000 (multiplicity 2)
Co1 0.000 0.000 0.341 (multiplicity 2)
Pt1 0.000 0.000 0.671 (multiplicity 2)

---

[7]
## ZrCoPt2 (GGA-PBE)

Data for crystalline ZrCoPt2 at its relaxed geometry.

Properties
Density of states at the Fermi level = 0.859 states/eV per atom
E = -29.8 eV/f.u.

abc: 2.905 4.506 4.907
angles: 90.00 90.00 90.00
Space group Pmm2 (No. 25)
Asymmetric unit:
Zr1 0.000 0.000 0.000 (multiplicity 1)
Co1 0.000 0.500 0.644 (multiplicity 1)
Pt1 0.500 0.000 0.521 (multiplicity 1)
Pt2 0.500 0.500 0.175 (multiplicity 1)

---

[8]
## ZrCo3Pt (GGA-PBE)

Data for crystalline ZrCo3Pt at its relaxed geometry.

Properties
Density of states at the Fermi level = 1.423 states/eV per atom
Energy above the most stable polymorph in this dataset = 511 meV/atom

abc: 4.438 4.438 4.438
angles: 90.00 90.00 90.00
Space group Pm-3m (No. 221)
Asymmetric unit:
Zr1 0.000 0.000 0.000 (multiplicity 1)
Co1 0.000 0.000 0.500 (multiplicity 3)
Pt1 0.500 0.500 0.500 (multiplicity 1)

---

[9]
## ZrCoPt2 (GGA-PBE)

Data for crystalline ZrCoPt2 at its relaxed geometry.

Properties
Density of states at the Fermi level = 1.128 states/eV per atom
E = -30.4 eV/f.u.

abc: 3.961 3.961 8.031
angles: 90.00 90.00 90.00
Space group I-4m2 (No. 119)
Asymmetric unit:
Zr1 0.000 0.000 0.000 (multiplicity 2)
Co1 0.000 0.500 0.750 (multiplicity 2)
Pt1 0.000 0.000 0.500 (multiplicity 2)
Pt2 0.000 0.500 0.250 (multiplicity 2)

---

[10]
## Zr4Co2Pt (GGA-PBE)

Data for crystalline Zr4Co2Pt at its relaxed geometry.

Properties
Density of states at the Fermi level = 0.977 states/eV per atom
E = -57.4 eV/f.u.

abc: 10.567 8.139 6.782
angles: 90.00 111.73 90.00
Space group Cm (No. 8)
Asymmetric unit:
Zr1 0.000 0.000 0.000 (multiplicity 2)
Zr2 0.000 0.500 0.471 (multiplicity 2)
Zr3 0.003 0.000 0.490 (multiplicity 2)
Zr4 0.017 0.500 0.016 (multiplicity 2)
Zr5 0.225 0.249 0.349 (multiplicity 4)
Zr6 0.233 0.289 0.850 (multiplicity 4)
Co1 0.280 0.500 0.158 (multiplicity 2)
Co2 0.295 0.500 0.613 (multiplicity 2)
Co3 0.457 0.254 0.218 (multiplicity 4)
Pt1 0.268 0.000 0.080 (multiplicity 2)
Pt2 0.295 0.000 0.653 (multiplicity 2)

---

[11]
## ZrCoPt4 (GGA-PBE)

Data for crystalline ZrCoPt4 at its relaxed geometry.

Properties
Density of states at the Fermi level = 1.172 states/eV per atom
E = -42.0 eV/f.u.

abc: 7.409 7.409 7.409
angles: 90.00 90.00 90.00
Space group F-43m (No. 216)
Asymmetric unit:
Zr1 0.000 0.000 0.000 (multiplicity 4)
Co1 0.250 0.250 0.750 (multiplicity 4)
Pt1 0.124 0.124 0.376 (multiplicity 16)

---

[12]
## ZrCoPt2 (GGA-PBE)

Data for crystalline ZrCoPt2 at its relaxed geometry.

Properties
Density of states at the Fermi level = 1.361 states/eV per atom
E = -29.6 eV/f.u.

abc: 6.355 6.355 6.355
angles: 90.00 90.00 90.00
Space group F-43m (No. 216)
Asymmetric unit:
Zr1 0.000 0.000 0.000 (multiplicity 4)
Co1 0.250 0.250 0.250 (multiplicity 4)
Pt1 0.000 0.000 0.500 (multiplicity 4)
Pt2 0.250 0.250 0.750 (multiplicity 4)

---

[13]
## ZrCoPt (GGA-PBE)

Data for crystalline ZrCoPt at its relaxed geometry.

Properties
Density of states at the Fermi level = 1.507 states/eV per atom
E = -22.6 eV/f.u.

abc: 5.967 5.967 5.967
angles: 90.00 90.00 90.00
Space group F-43m (No. 216)
Asymmetric unit:
Zr1 0.000 0.000 0.000 (multiplicity 4)
Co1 0.250 0.250 0.250 (multiplicity 4)
Pt1 0.000 0.000 0.500 (multiplicity 4)

---

[14]
## ZrCo2Pt2 (GGA-PBE)

Data for crystalline ZrCo2Pt2 at its relaxed geometry.

Properties
Density of states at the Fermi level = 0.890 states/eV per atom
Energy above the most stable polymorph in this dataset = 24 meV/atom

abc: 6.620 6.620 3.420
angles: 90.00 90.00 90.00
Space group P4/mbm (No. 127)
Asymmetric unit:
Zr1 0.000 0.000 0.000 (multiplicity 2)
Co1 0.128 0.372 0.000 (multiplicity 4)
Pt1 0.165 0.665 0.500 (multiplicity 4)

---

[15]
## ZrCoPt2 (GGA-PBE)

Data for crystalline ZrCoPt2 at its relaxed geometry.

Properties
Density of states at the Fermi level = 1.219 states/eV per atom
E = -28.6 eV/f.u.

abc: 2.8527 2.8527 27.1951
angles: 90.00 90.00 120.00
Space group R-3m (No. 166, hexagonal axes)
Asymmetric unit:
Zr1 0.0000 0.0000 0.0000 (multiplicity 3)
Co1 0.0000 0.0000 0.5000 (multiplicity 3)
Pt1 0.0000 0.0000 0.2439 (multiplicity 6)

---

[16]
## ZrCoPt2 (GGA-PBE)

Data for crystalline ZrCoPt2 at its relaxed geometry.

Properties
Density of states at the Fermi level = 1.673 states/eV per atom
E = -29.7 eV/f.u.

abc: 6.402 6.402 6.402
angles: 90.00 90.00 90.00
Space group Fm-3m (No. 225)
Asymmetric unit:
Zr1 0.000 0.000 0.000 (multiplicity 4)
Co1 0.000 0.000 0.500 (multiplicity 4)
Pt1 0.250 0.250 0.250 (multiplicity 8)

---

[17]
## Zr5CoPt2 (GGA-PBE)

Data for crystalline Zr5CoPt2 at its relaxed geometry.

Properties
Density of states at the Fermi level = 1.260 states/eV per atom
E = -66.8 eV/f.u.

abc: 7.333 10.661 4.084
angles: 90.00 90.00 90.00
Space group Pbam (No. 55)
Asymmetric unit:
Zr1 0.000 0.000 0.000 (multiplicity 2)
Zr2 0.146 0.290 0.000 (multiplicity 4)
Zr3 0.181 0.577 0.500 (multiplicity 4)
Co1 0.000 0.500 0.000 (multiplicity 2)
Pt1 0.071 0.831 0.500 (multiplicity 4)

---

[18]
## ZrCoPt3 (GGA-PBE)

Data for crystalline ZrCoPt3 at its relaxed geometry.

Properties
Density of states at the Fermi level = 1.503 states/eV per atom
Energy above the most stable polymorph in this dataset = 0 meV/atom

abc: 4.557 4.557 4.557
angles: 90.00 90.00 90.00
Space group Pm-3m (No. 221)
Asymmetric unit:
Zr1 0.000 0.000 0.000 (multiplicity 1)
Co1 0.500 0.500 0.500 (multiplicity 1)
Pt1 0.000 0.500 0.500 (multiplicity 3)

---

[19]
## ZrCo2Pt2 (GGA-PBE)

Data for crystalline ZrCo2Pt2 at its relaxed geometry.

Properties
Density of states at the Fermi level = 0.809 states/eV per atom
Energy above the most stable polymorph in this dataset = 0 meV/atom

abc: 3.503 3.503 13.071
angles: 90.00 90.00 90.00
Space group I4/mmm (No. 139)
Asymmetric unit:
Zr1 0.000 0.000 0.000 (multiplicity 2)
Co1 0.000 0.500 0.250 (multiplicity 4)
Pt1 0.000 0.000 0.396 (multiplicity 4)

---

[20]
## Zr6CoPt3 (GGA-PBE)

Data for crystalline Zr6CoPt3 at its relaxed geometry.

Properties
Density of states at the Fermi level = 1.078 states/eV per atom
E = -81.8 eV/f.u.

abc: 6.109 7.214 11.244
angles: 90.00 122.34 90.00
Space group P2_1/c (No. 14)
Asymmetric unit:
Zr1 0.076 0.051 0.241 (multiplicity 4)
Zr2 0.205 0.687 0.069 (multiplicity 4)
Zr3 0.415 0.158 0.068 (multiplicity 4)
Co1 0.000 0.000 0.000 (multiplicity 2)
Pt1 0.313 0.123 0.741 (multiplicity 4)
Pt2 0.500 0.000 0.500 (multiplicity 2)

---

[21]
## Zr3CoPt (GGA-PBE)

Data for crystalline Zr3CoPt at its relaxed geometry.

Properties
Density of states at the Fermi level = 1.486 states/eV per atom
Energy above the most stable polymorph in this dataset = 0 meV/atom

abc: 4.737 4.737 4.737
angles: 90.00 90.00 90.00
Space group Pm-3m (No. 221)
Asymmetric unit:
Zr1 0.000 0.000 0.500 (multiplicity 3)
Co1 0.000 0.000 0.000 (multiplicity 1)
Pt1 0.500 0.500 0.500 (multiplicity 1)

---

[22]
## Zr7Co2Pt2 (GGA-PBE)

Data for crystalline Zr7Co2Pt2 at its relaxed geometry.

Properties
Density of states at the Fermi level = 1.057 states/eV per atom
E = -91.5 eV/f.u.

abc: 3.382 14.111 9.160
angles: 90.00 90.00 90.00
Space group Imm2 (No. 44)
Asymmetric unit:
Zr1 0.000 0.000 0.000 (multiplicity 2)
Zr2 0.000 0.123 0.407 (multiplicity 4)
Zr3 0.000 0.312 0.621 (multiplicity 4)
Zr4 0.000 0.367 0.266 (multiplicity 4)
Co1 0.000 0.233 0.928 (multiplicity 4)
Pt1 0.000 0.000 0.647 (multiplicity 2)
Pt2 0.000 0.500 0.749 (multiplicity 2)

---

[23]
## ZrCoPt3 (GGA-PBE)

Data for crystalline ZrCoPt3 at its relaxed geometry.

Properties
Density of states at the Fermi level = 0.753 states/eV per atom
Energy above the most stable polymorph in this dataset = 807 meV/atom

abc: 4.932 4.932 4.932
angles: 90.00 90.00 90.00
Space group Pm-3m (No. 221)
Asymmetric unit:
Zr1 0.000 0.000 0.000 (multiplicity 1)
Co1 0.500 0.500 0.500 (multiplicity 1)
Pt1 0.000 0.000 0.500 (multiplicity 3)

---

[24]
## Zr6CoPt (GGA-PBE)

Data for crystalline Zr6CoPt at its relaxed geometry.

Properties
Density of states at the Fermi level = 0.941 states/eV per atom
E = -66.1 eV/f.u.

abc: 6.672 8.661 5.935
angles: 90.00 108.85 90.00
Space group C2/m (No. 12)
Asymmetric unit:
Zr1 0.100 0.231 0.272 (multiplicity 8)
Zr2 0.242 0.500 0.034 (multiplicity 4)
Co1 0.000 0.000 0.500 (multiplicity 2)
Pt1 0.000 0.500 0.500 (multiplicity 2)

---

[25]
## Zr6Co2Pt (GGA-PBE)

Data for crystalline Zr6Co2Pt at its relaxed geometry.

Properties
Density of states at the Fermi level = 1.176 states/eV per atom
E = -75.2 eV/f.u.

abc: 8.357 8.611 9.681
angles: 90.00 90.00 90.00
Space group Immm (No. 71)
Asymmetric unit:
Zr1 0.000 0.194 0.236 (multiplicity 8)
Zr2 0.196 0.500 0.170 (multiplicity 8)
Zr3 0.202 0.312 0.500 (multiplicity 8)
Co1 0.000 0.344 0.000 (multiplicity 4)
Co2 0.000 0.500 0.372 (multiplicity 4)
Pt1 0.000 0.000 0.000 (multiplicity 2)
Pt2 0.000 0.000 0.500 (multiplicity 2)